Compound: V3NiO8
Source: the Alexandria database
Functional: PBE+U
Structure: optimized geometry

Output
total energy	-0.5206	Ry per atom
ΔE to the lowest computed polymorph	15	kJ/mol of formula units
spin magnetization	0.25	μB/atom

Cell lengths 5.701, 5.748, 7.770 Å; angles 88.29, 88.29, 86.98 degrees
Space group P1 (No. 1)
One atom of each set of equivalent atoms:
V  0.000  0.000  0.000 x1
V  0.100  0.501  0.752 x1
V  0.601  0.591  0.502 x1
Ni  0.487  0.105  0.252 x1
O  0.039  0.711  0.916 x1
O  0.067  0.204  0.828 x1
O  0.187  0.028  0.162 x1
O  0.401  0.528  0.678 x1
O  0.548  0.868  0.429 x1
O  0.570  0.399  0.345 x1
O  0.718  0.048  0.069 x1
O  0.896  0.559  0.581 x1